i:
This record from the Alexandria database describes a geometry-optimized PaInTc2 structure. The functional is PBE.

## Properties
Calculated volume   18.5 Å³/atom
M_tot   0.0 μB/cell

Cell lengths 4.6004, 4.6004, 3.5061 Å; angles 90.00, 90.00, 90.00 degrees
With the nearest neighbours (Å) after each atom.
Space group P4/mmm (No. 123)
Asymmetric unit:
Pa 0.0000 0.0000 0.0000 x1  8 Tc 2.89
In 0.5000 0.5000 0.0000 x1  8 Tc 2.89
Tc 0.0000 0.5000 0.5000 x2  4 In 2.89, 4 Pa 2.89

***

ii:
This record from the Alexandria database describes a geometry-optimized PaInTc2 structure. The functional is PBE.

## Properties
Calculated volume   18.7 Å³/atom
M_tot   0.0 μB/cell

Cell lengths 6.6922, 6.6922, 6.6922 Å; angles 90.00, 90.00, 90.00 degrees
With the nearest neighbours (Å) after each atom.
Space group Fm-3m (No. 225)
Asymmetric unit:
Pa 0.0000 0.0000 0.0000 x4  8 Tc 2.90
In 0.0000 0.0000 0.5000 x4  8 Tc 2.90
Tc 0.2500 0.2500 0.2500 x8  4 In 2.90, 4 Pa 2.90

***

iii:
This record from the Alexandria database describes a geometry-optimized PaInTc2 structure. The functional is PBE.

## Properties
Calculated volume   21.8 Å³/atom
M_tot   0.0 μB/cell

Cell lengths 3.3218, 3.3218, 27.3786 Å; angles 90.00, 90.00, 120.00 degrees
With the nearest neighbours (Å) after each atom.
Space group R-3m (No. 166, hexagonal axes)
Asymmetric unit:
Pa 0.0000 0.0000 0.0000 x3  6 Tc 2.64
In 0.0000 0.0000 0.5000 x3  2 Tc 2.75
Tc 0.0000 0.0000 0.3994 x6  3 Pa 2.64, 1 In 2.75

***

It turns out i is the most stable, with the second structure 88 meV/atom higher.

***

i:
This record from the Alexandria database describes a geometry-optimized Pa2InTe4 structure. The functional is PBE.

## Properties
Calculated volume   39.5 Å³/atom
M_tot   24.1 μB/cell

Cell lengths 12.9619, 13.0590, 13.0772 Å; angles 90.00, 90.00, 90.00 degrees
With the nearest neighbours (Å) after each atom.
Space group Fddd (No. 70, origin choice 2)
Asymmetric unit:
Pa 0.0000 0.0000 0.0000 x16  6 Te 3.11-3.12
In 0.1250 0.1250 0.6250 x8  4 Te 3.08
Te 0.0102 0.0120 0.2377 x32  1 In 3.08, 3 Pa 3.11-3.12

***

ii:
This record from the Alexandria database describes a geometry-optimized Pa2InTe4 structure. The functional is PBE.

## Properties
Calculated volume   29.4 Å³/atom
M_tot   4.4 μB/cell

Cell lengths 7.3023, 7.3023, 7.7207 Å; angles 90.00, 90.00, 90.00 degrees
With the nearest neighbours (Å) after each atom.
Space group I4mm (No. 107)
Asymmetric unit:
Pa 0.0000 0.5000 0.0000 x4  8 Te 3.22
In 0.0000 0.0000 0.0008 x2  8 Te 3.22-3.23
Te 0.2501 0.2501 0.2501 x8  2 In 3.22-3.23, 4 Pa 3.22

***

It turns out i is the most stable, with the second structure 46 meV/atom higher.

***

i:
This record from the Alexandria database describes a geometry-optimized PaIn2Te structure. The functional is PBE.

## Properties
Calculated volume   28.1 Å³/atom
M_tot   0.0 μB/cell

Cell lengths 3.2723, 3.2723, 36.3954 Å; angles 90.00, 90.00, 120.00 degrees
With the nearest neighbours (Å) after each atom.
Space group R-3m (No. 166, hexagonal axes)
Asymmetric unit:
Pa 0.0000 0.0000 0.0000 x3  2 In 3.19, 6 Pa 3.27
In 0.0000 0.0000 0.0876 x6  1 Pa 3.19, 6 In 3.27, 3 Te 3.44
Te 0.0000 0.0000 0.5000 x3  6 Te 3.27, 6 In 3.44

***

ii:
This record from the Alexandria database describes a geometry-optimized PaIn2Te structure. The functional is PBE.

## Properties
Calculated volume   25.4 Å³/atom
M_tot   0.0 μB/cell

Cell lengths 4.4214, 4.4214, 5.1997 Å; angles 90.00, 90.00, 90.00 degrees
With the nearest neighbours (Å) after each atom.
Space group P4/mmm (No. 123)
Asymmetric unit:
Pa 0.0000 0.0000 0.0000 x1  4 Te 3.13, 8 In 3.41
In 0.0000 0.5000 0.5000 x2  4 In 3.13, 4 Pa 3.41, 4 Te 3.41
Te 0.5000 0.5000 0.0000 x1  4 Pa 3.13, 8 In 3.41

***

It turns out ii is the most stable, with the second structure 591 meV/atom higher.

***

i:
This record from the Alexandria database describes a geometry-optimized PaTlIn2 structure. The functional is PBE.

## Properties
Calculated volume   26.4 Å³/atom
M_tot   0.7 μB/cell

Cell lengths 3.8084, 3.8084, 7.2748 Å; angles 90.00, 90.00, 90.00 degrees
With the nearest neighbours (Å) after each atom.
Space group P4/mmm (No. 123)
Asymmetric unit:
Pa 0.0000 0.0000 0.0000 x1  8 In 3.29, 2 Tl 3.64
Tl 0.0000 0.0000 0.5000 x1  8 In 3.21
In 0.5000 0.5000 0.2603 x2  4 Tl 3.21, 4 Pa 3.29, 1 In 3.49

***

ii:
This record from the Alexandria database describes a geometry-optimized PaTlIn2 structure. The functional is PBE.

## Properties
Calculated volume   25.7 Å³/atom
M_tot   1.3 μB/cell

Cell lengths 4.6805, 4.6805, 4.6872 Å; angles 90.00, 90.00, 90.00 degrees
With the nearest neighbours (Å) after each atom.
Space group P4/mmm (No. 123)
Asymmetric unit:
Pa 0.0000 0.0000 0.0000 x1  4 Tl 3.31, 8 In 3.31
Tl 0.5000 0.5000 0.0000 x1  4 Pa 3.31, 8 In 3.31
In 0.0000 0.5000 0.5000 x2  4 In 3.31, 4 Tl 3.31, 4 Pa 3.31

***

It turns out ii is the most stable, with the second structure 191 meV/atom higher.

***

i:
This record from the Alexandria database describes a geometry-optimized TmPaIn structure. The functional is PBE.

## Properties
Calculated volume   26.6 Å³/atom
M_tot   1.8 μB/cell

Cell lengths 5.3407, 5.3407, 3.2273 Å; angles 90.00, 90.00, 120.00 degrees
With the nearest neighbours (Å) after each atom.
Space group P3m1 (No. 156)
Asymmetric unit:
Tm 0.0000 0.0000 0.0000 x1  3 In 3.15, 2 Tm 3.23, 3 Pa 3.40
Pa 0.3333 0.6667 0.4446 x1  2 Pa 3.23, 3 In 3.30, 6 Tm 3.40-3.57
In 0.6667 0.3333 0.8050 x1  3 Tm 3.15, 2 In 3.23, 3 Pa 3.30

***

ii:
This record from the Alexandria database describes a geometry-optimized TmPaIn structure. The functional is PBE.

## Properties
Calculated volume   25.9 Å³/atom
M_tot   0.0 μB/cell

Cell lengths 3.2256, 3.2256, 14.9466 Å; angles 90.00, 90.00, 90.00 degrees
With the nearest neighbours (Å) after each atom.
Space group I4mm (No. 107)
Asymmetric unit:
Tm 0.0000 0.0000 0.0000 x2  4 Tm 3.23, 4 In 3.33, 4 Pa 3.45
Pa 0.0000 0.0000 0.6729 x2  4 Pa 3.23, 4 In 3.36, 4 Tm 3.45
In 0.0000 0.0000 0.3381 x2  4 In 3.23, 4 Tm 3.33, 4 Pa 3.36

***

It turns out ii is the most stable, with the second structure 175 meV/atom higher.

***

i:
This record from the Alexandria database describes a geometry-optimized UPa2In structure. The functional is PBE.

## Properties
Calculated volume   24.3 Å³/atom
M_tot   17.0 μB/cell

Cell lengths 7.3021, 7.3021, 7.3021 Å; angles 90.00, 90.00, 90.00 degrees
With the nearest neighbours (Å) after each atom.
Space group Fm-3m (No. 225)
Asymmetric unit:
U 0.0000 0.0000 0.0000 x4  8 Pa 3.16
Pa 0.2500 0.2500 0.2500 x8  4 In 3.16, 4 U 3.16
In 0.0000 0.0000 0.5000 x4  8 Pa 3.16

***

ii:
This record from the Alexandria database describes a geometry-optimized UPa2In structure. The functional is PBE.

## Properties
Calculated volume   24.2 Å³/atom
M_tot   1.3 μB/cell

Cell lengths 3.7052, 3.7052, 7.0418 Å; angles 90.00, 90.00, 90.00 degrees
With the nearest neighbours (Å) after each atom.
Space group P4/mmm (No. 123)
Asymmetric unit:
U 0.0000 0.0000 0.0000 x1  8 Pa 3.06
Pa 0.5000 0.5000 0.2239 x2  4 U 3.06, 1 Pa 3.15, 4 In 3.26
In 0.0000 0.0000 0.5000 x1  8 Pa 3.26, 2 U 3.52

***

iii:
This record from the Alexandria database describes a geometry-optimized UPa2In structure. The functional is PBE.

## Properties
Calculated volume   24.7 Å³/atom
M_tot   0.0 μB/cell

Cell lengths 3.6723, 3.6723, 25.3896 Å; angles 90.00, 90.00, 120.00 degrees
With the nearest neighbours (Å) after each atom.
Space group R-3m (No. 166, hexagonal axes)
Asymmetric unit:
U 0.0000 0.0000 0.0000 x3  6 Pa 2.69
Pa 0.0000 0.0000 0.2679 x6  3 U 2.69
In 0.0000 0.0000 0.5000 x3  6 Pa 3.33, 6 In 3.67

***

It turns out ii is the most stable, with the second structure 70 meV/atom higher.